one.
Compound: TbPrTc
Source: Alexandria
Functional: PBE
Structure: optimized geometry Values from VASP.

The calculation puts the volume at 26.9 Å³/atom. The space group is No. 107.

```
&SYSTEM
  ibrav = 0, nat = 3, ntyp = 3
/
ATOMIC_SPECIES
Pr 140.91 Pr.upf
Tb 158.93 Tb.upf
Tc 98.00 Tc.upf
ATOMIC_POSITIONS crystal
Pr 0.2967 0.2967 0.5935
Tb 0.0403 0.0403 0.0807
Tc 0.6629 0.6629 0.3258
CELL_PARAMETERS angstrom
-1.6566 1.4153 2.7599
-3.0796 -1.1225 -1.2729
3.0522 -5.7439 2.5377
```

two.
Compound: TbPrTc
Source: Alexandria
Functional: PBE
Structure: optimized geometry Values from VASP.

The calculation puts the volume at 28.3 Å³/atom. The space group is No. 63.

```
&SYSTEM
  ibrav = 0, nat = 6, ntyp = 3
/
ATOMIC_SPECIES
Tb 158.93 Tb.upf
Tc 98.00 Tc.upf
Pr 140.91 Pr.upf
ATOMIC_POSITIONS crystal
Tb 0.2500 0.0795 0.8410
Tb 0.7500 0.9205 0.1590
Tc 0.2500 0.4652 0.0696
Tc 0.7500 0.5348 0.9304
Pr 0.7500 0.6943 0.6114
Pr 0.2500 0.3057 0.3886
CELL_PARAMETERS angstrom
4.0097 0.0000 0.0000
0.0000 4.4977 0.0000
0.0000 2.2489 9.4092
```

Most stable pick: two. Distance to second place: 0.051 eV/atom.

one.
Compound: TbPrTe2
Source: Alexandria
Functional: PBE
Structure: optimized geometry Values from VASP.

The calculation puts the volume at 31.2 Å³/atom. The space group is No. 12.

```
&SYSTEM
  ibrav = 0, nat = 4, ntyp = 3
/
ATOMIC_SPECIES
Tb 158.93 Tb.upf
Pr 140.91 Pr.upf
Te 127.60 Te.upf
ATOMIC_POSITIONS crystal
Tb 0.0000 0.0000 0.0000
Pr 0.5000 0.5000 0.5000
Te 0.7456 0.7456 0.7632
Te 0.2544 0.2544 0.2368
CELL_PARAMETERS angstrom
4.4243 0.0069 0.0209
2.1944 3.8418 0.0209
2.1908 1.2739 7.3643
```

two.
Compound: TbPrTe2
Source: Alexandria
Functional: PBE
Structure: optimized geometry Values from VASP.

The calculation puts the volume at 31.3 Å³/atom. The space group is No. 160.

```
&SYSTEM
  ibrav = 0, nat = 4, ntyp = 3
/
ATOMIC_SPECIES
Tb 158.93 Tb.upf
Pr 140.91 Pr.upf
Te 127.60 Te.upf
ATOMIC_POSITIONS crystal
Tb 0.6707 0.6707 0.9878
Pr 0.4961 0.4961 0.5117
Te 0.0788 0.0788 0.7636
Te 0.2543 0.2543 0.2370
CELL_PARAMETERS angstrom
-1.9978 -3.5000 1.5782
1.8576 -3.8935 -0.3487
3.4623 -1.3997 7.2131
```

three.
Compound: TbPrTe2
Source: Alexandria
Functional: PBE
Structure: optimized geometry Values from VASP.

The calculation puts the volume at 28.5 Å³/atom. The space group is No. 225.

```
&SYSTEM
  ibrav = 0, nat = 4, ntyp = 3
/
ATOMIC_SPECIES
Pr 140.91 Pr.upf
Te 127.60 Te.upf
Tb 158.93 Tb.upf
ATOMIC_POSITIONS crystal
Pr 0.0000 0.0000 0.0000
Te 0.2500 0.2500 0.2500
Te 0.7500 0.7500 0.7500
Tb 0.5000 0.5000 0.5000
CELL_PARAMETERS angstrom
5.4428 0.0000 0.0000
2.7214 4.7136 0.0000
2.7214 1.5712 4.4441
```

Most stable pick: two. Distance to second place: 0.022 eV/atom.

one.
Compound: TbPr2Te
Source: Alexandria
Functional: PBE
Structure: optimized geometry Values from VASP.

The calculation puts the volume at 32.4 Å³/atom. The space group is No. 123.

```
&SYSTEM
  ibrav = 0, nat = 4, ntyp = 3
/
ATOMIC_SPECIES
Pr 140.91 Pr.upf
Te 127.60 Te.upf
Tb 158.93 Tb.upf
ATOMIC_POSITIONS crystal
Pr 0.0000 0.0000 0.7763
Pr 0.0000 0.0000 0.2237
Te 0.5000 0.5000 0.0000
Tb 0.5000 0.5000 0.5000
CELL_PARAMETERS angstrom
-1.7982 -2.1526 -2.8532
1.0471 -3.3711 1.8834
-6.9064 0.2016 4.2007
```

two.
Compound: TbPr2Te
Source: Alexandria
Functional: PBE
Structure: optimized geometry Values from VASP.

The calculation puts the volume at 35.0 Å³/atom. The space group is No. 166.

```
&SYSTEM
  ibrav = 0, nat = 4, ntyp = 3
/
ATOMIC_SPECIES
Pr 140.91 Pr.upf
Te 127.60 Te.upf
Tb 158.93 Tb.upf
ATOMIC_POSITIONS crystal
Pr 0.2608 0.2608 0.2176
Pr 0.7392 0.7392 0.7824
Te 0.0000 0.0000 0.0000
Tb 0.5000 0.5000 0.5000
CELL_PARAMETERS angstrom
3.9879 0.0000 0.0000
1.9939 3.4536 0.0000
1.9939 1.1512 10.1650
```

Most stable pick: one. Distance to second place: 0.050 eV/atom.

one.
Compound: TbPr2Te
Source: Alexandria
Functional: PBE
Structure: optimized geometry Values from VASP.

The calculation puts the volume at 35.1 Å³/atom. The space group is No. 160.

```
&SYSTEM
  ibrav = 0, nat = 4, ntyp = 3
/
ATOMIC_SPECIES
Tb 158.93 Tb.upf
Pr 140.91 Pr.upf
Te 127.60 Te.upf
ATOMIC_POSITIONS crystal
Tb 0.4997 0.4997 0.5010
Pr 0.0727 0.0727 0.7820
Pr 0.2608 0.2608 0.2175
Te 0.6668 0.6668 0.9995
CELL_PARAMETERS angstrom
4.0348 0.0000 0.0000
2.0174 3.4942 0.0000
2.0174 1.1647 9.9576
```

two.
Compound: TbPr2Te
Source: Alexandria
Functional: PBE
Structure: optimized geometry Values from VASP.

The calculation puts the volume at 29.8 Å³/atom. The space group is No. 123.

```
&SYSTEM
  ibrav = 0, nat = 4, ntyp = 3
/
ATOMIC_SPECIES
Pr 140.91 Pr.upf
Te 127.60 Te.upf
Tb 158.93 Tb.upf
ATOMIC_POSITIONS crystal
Pr 0.0000 0.0000 0.5000
Pr 0.0000 0.5000 0.0000
Te 0.5000 0.5000 0.5000
Tb 0.5000 0.0000 0.0000
CELL_PARAMETERS angstrom
4.7989 0.0000 0.0000
0.0000 4.9817 0.0000
0.0000 0.0000 4.9817
```

Most stable pick: one. Distance to second place: 0.035 eV/atom.

one.
Compound: Tb6PrTe8
Source: Alexandria
Functional: PBE
Structure: optimized geometry Values from VASP.

The calculation puts the volume at 31.3 Å³/atom. The space group is No. 225.

```
&SYSTEM
  ibrav = 0, nat = 15, ntyp = 3
/
ATOMIC_SPECIES
Tb 158.93 Tb.upf
Pr 140.91 Pr.upf
Te 127.60 Te.upf
ATOMIC_POSITIONS crystal
Tb 0.0000 0.5000 0.5000
Tb 0.5000 0.0000 0.0000
Tb 0.5000 0.5000 0.0000
Tb 0.0000 0.0000 0.5000
Tb 0.0000 0.5000 0.0000
Tb 0.5000 0.0000 0.5000
Pr 0.0000 0.0000 0.0000
Te 0.7500 0.7500 0.7500
Te 0.2500 0.2500 0.2500
Te 0.7380 0.2620 0.2620
Te 0.2620 0.7380 0.7380
Te 0.2620 0.2620 0.7380
Te 0.7380 0.7380 0.2620
Te 0.7380 0.2620 0.7380
Te 0.2620 0.7380 0.2620
CELL_PARAMETERS angstrom
-5.2425 -6.5399 2.4267
2.5652 -5.5765 6.2020
-3.8127 0.1469 7.8476
```

two.
Compound: Tb6PrTe8
Source: Alexandria
Functional: PBE
Structure: optimized geometry Values from VASP.

The calculation puts the volume at 31.3 Å³/atom. The space group is No. 148.

```
&SYSTEM
  ibrav = 0, nat = 15, ntyp = 3
/
ATOMIC_SPECIES
Tb 158.93 Tb.upf
Pr 140.91 Pr.upf
Te 127.60 Te.upf
ATOMIC_POSITIONS crystal
Tb 0.5484 0.3056 0.9217
Tb 0.3056 0.9217 0.5484
Tb 0.9217 0.5484 0.3056
Tb 0.4516 0.6944 0.0783
Tb 0.6944 0.0783 0.4516
Tb 0.0783 0.4516 0.6944
Pr 0.0000 0.0000 0.0000
Te 0.6746 0.6746 0.6746
Te 0.3254 0.3254 0.3254
Te 0.6262 0.8995 0.1931
Te 0.8995 0.1931 0.6262
Te 0.1931 0.6262 0.8995
Te 0.3738 0.1005 0.8069
Te 0.1005 0.8069 0.3738
Te 0.8069 0.3738 0.1005
CELL_PARAMETERS angstrom
7.9424 1.4785 1.5269
1.2301 7.9847 1.5269
1.2301 1.2690 8.0297
```

Most stable pick: one. Distance to second place: 0.135 eV/atom.